First-principles (PBE) data for crystalline TiHgO2 at its relaxed geometry, as listed in Alexandria via LeMat-Bulk.

Lattice parameters (Å, degrees): 5.9956 5.9956 5.9973 60.01 60.01 90.00
Closest atoms and distances in Å follow each position.
Atoms (fractional coordinates):
Hg: 0.0000 0.0000 0.0000  12 O 3.52, 4 Hg 3.67, 4 Ti 3.67
Hg: 0.7500 0.2500 0.5000  12 O 3.52, 4 Hg 3.67, 4 Ti 3.67
O: 0.3750 0.1250 0.2500  2 Ti 1.84
O: 0.3750 0.6250 0.2500  2 Ti 1.84
O: 0.3750 0.6250 0.7500  2 Ti 1.84
O: 0.8750 0.6250 0.7500  2 Ti 1.84
Ti: 0.5000 0.5000 0.0000  4 O 1.84
Ti: 0.2500 0.7500 0.5000  4 O 1.84

volume = 152.5 Å³/cell
energy relative to the elements, uncorrected = -2193 meV/atom
calculated density = 6.108 g cm⁻³
crystal system = cubic
energy = -6.721 eV per atom